(1)
{"formula": "YAgAu2", "functional": "PBE-GGA", "state": "relaxed", "magnetic_moment_mub_per_cell": 0.000, "dft_energy_ev_per_atom": -4.23, "lattice_angstrom": [[-3.931, 3.931, 2.899], [3.931, -3.931, 2.899], [3.931, 3.931, -2.899]], "species": ["Y", "Y", "Ag", "Ag", "Au", "Au", "Au", "Au"], "frac_coords": [[0.000, 0.000, 0.000], [0.750, 0.250, 0.500], [0.250, 0.750, 0.500], [0.500, 0.500, 0.000], [0.141, 0.625, 0.016], [0.375, 0.391, 0.516], [0.609, 0.125, 0.984], [0.875, 0.859, 0.484]]}

(2)
{"formula": "Y4Ag2Au", "functional": "PBE-GGA", "state": "relaxed", "magnetic_moment_mub_per_cell": 0.000, "dft_energy_ev_per_atom": -5.31, "lattice_angstrom": [[2.543, 1.468, 8.308], [-2.543, 1.468, 8.308], [0.000, -2.937, 8.308]], "species": ["Y", "Y", "Y", "Y", "Ag", "Ag", "Au"], "frac_coords": [[0.124, 0.124, 0.124], [0.375, 0.375, 0.375], [0.625, 0.625, 0.625], [0.876, 0.876, 0.876], [0.252, 0.252, 0.252], [0.748, 0.748, 0.748], [0.500, 0.500, 0.500]]}

(3)
{"formula": "Y2Ag2Au", "functional": "PBE-GGA", "state": "relaxed", "magnetic_moment_mub_per_cell": 0.000, "dft_energy_ev_per_atom": -4.51, "lattice_angstrom": [[-2.813, 2.813, 4.000], [2.813, -2.813, 4.000], [2.813, 2.813, -4.000]], "species": ["Y", "Y", "Ag", "Ag", "Au"], "frac_coords": [[0.250, 0.750, 0.500], [0.750, 0.250, 0.500], [0.157, 0.157, 0.000], [0.843, 0.843, 0.000], [0.500, 0.500, 0.000]]}

(4)
{"formula": "Y2Ag3Au", "functional": "PBE-GGA", "state": "relaxed", "magnetic_moment_mub_per_cell": 0.000, "dft_energy_ev_per_atom": -4.52, "lattice_angstrom": [[3.465, 0.000, 0.000], [0.000, 4.756, 0.000], [0.000, 0.000, 8.177]], "species": ["Y", "Y", "Ag", "Ag", "Ag", "Au"], "frac_coords": [[0.000, 0.000, 0.000], [0.000, 0.500, 0.478], [0.500, 0.000, 0.660], [0.500, 0.500, 0.152], [0.500, 0.500, 0.819], [0.500, 0.000, 0.323]]}

(5)
{"formula": "Y3Ag2Au", "functional": "PBE-GGA", "state": "relaxed", "magnetic_moment_mub_per_cell": 0.000, "dft_energy_ev_per_atom": -5.24, "lattice_angstrom": [[3.617, 0.000, 0.000], [0.000, 3.617, 0.000], [0.000, 0.000, 10.980]], "species": ["Y", "Y", "Y", "Ag", "Ag", "Au"], "frac_coords": [[0.000, 0.000, 0.000], [0.000, 0.000, 0.337], [0.000, 0.000, 0.663], [0.500, 0.500, 0.166], [0.500, 0.500, 0.834], [0.500, 0.500, 0.500]]}

(6)
{"formula": "Y2AgAu2", "functional": "PBE-GGA", "state": "relaxed", "magnetic_moment_mub_per_cell": 0.000, "dft_energy_ev_per_atom": -4.89, "lattice_angstrom": [[-2.797, 2.797, 4.098], [2.797, -2.797, 4.098], [2.797, 2.797, -4.098]], "species": ["Y", "Y", "Ag", "Au", "Au"], "frac_coords": [[0.250, 0.750, 0.500], [0.750, 0.250, 0.500], [0.000, 0.000, 0.000], [0.343, 0.343, 0.000], [0.657, 0.657, 0.000]]}

(7)
{"formula": "YZn5AgAu2", "functional": "PBE-GGA", "state": "relaxed", "magnetic_moment_mub_per_cell": 0.000, "dft_energy_ev_per_atom": -2.50, "lattice_angstrom": [[4.860, 0.000, 0.000], [0.000, 4.860, 0.000], [0.000, 0.000, 7.605]], "species": ["Y", "Zn", "Zn", "Zn", "Zn", "Zn", "Ag", "Au", "Au"], "frac_coords": [[0.000, 0.000, 0.000], [0.000, 0.500, 0.257], [0.000, 0.500, 0.743], [0.500, 0.000, 0.257], [0.500, 0.000, 0.743], [0.500, 0.500, 0.000], [0.000, 0.000, 0.500], [0.500, 0.500, 0.328], [0.500, 0.500, 0.672]]}

(8)
{"formula": "YZnAgAu", "functional": "PBE-GGA", "state": "relaxed", "magnetic_moment_mub_per_cell": 0.000, "dft_energy_ev_per_atom": -3.90, "lattice_angstrom": [[0.000, 3.422, 3.422], [3.422, 0.000, 3.422], [3.422, 3.422, 0.000]], "species": ["Y", "Zn", "Ag", "Au"], "frac_coords": [[0.000, 0.000, 0.000], [0.500, 0.500, 0.500], [0.250, 0.250, 0.250], [0.750, 0.750, 0.750]]}

- Which formula does entry 6 have?
  Y2AgAu2